DFT (PBE-GGA) results for crystalline Na2PbAu2 at its relaxed geometry.

DFT formation energy: -0.10 eV per atom
final energy: -2.68 eV/atom
total moment: 0.00 μB/cell
space-group type: I4/mmm, No. 139

Cell lengths 7.483, 7.483, 7.483 Å; angles 146.98, 146.98, 47.39 degrees
Atoms (fractional coordinates):
Na: 0.250 0.750 0.500
Na: 0.750 0.250 0.500
Pb: 0.000 0.000 0.000
Au: 0.400 0.400 0.000
Au: 0.600 0.600 0.000